Entry 1:
# Al2TlRh

A relaxed Al2TlRh crystal (PBE, Alexandria via LeMat-Bulk).

Cell lengths 4.6227, 4.6227, 4.6227 Å; angles 60.00, 60.00, 60.00 degrees
Last column: nearest neighbours and their distance in Å.
Positions (direct):
Al: 0.2500 0.2500 0.2500  4 Tl 2.83, 4 Rh 2.83
Al: 0.7500 0.7500 0.7500  4 Tl 2.83, 4 Rh 2.83
Tl: 0.5000 0.5000 0.5000  8 Al 2.83
Rh: 0.0000 0.0000 0.0000  8 Al 2.83

E_tot ... -4.2374 eV per atom
Energy relative to the lowest polymorph listed for this composition ... 422 meV per atom
DOS(E_F) ... 0.51 states/eV per atom
Mass density ... 8.59 g cm⁻³
Energy relative to the elements ... 0.3 eV per formula unit

Entry 2:
# Al2TlRh

A relaxed Al2TlRh crystal (PBE, Alexandria via LeMat-Bulk).

Cell lengths 2.9952, 2.9952, 8.3105 Å; angles 90.00, 90.00, 90.00 degrees
Last column: nearest neighbours and their distance in Å.
Positions (direct):
Al: 0.0000 0.0000 0.4336  4 Rh 2.61
Al: 0.0000 0.0000 0.0664  4 Rh 2.61
Rh: 0.5000 0.5000 0.2500  8 Al 2.61
Tl: 0.5000 0.5000 0.7500  4 Tl 3.00

E_tot ... -4.6191 eV per atom
Energy relative to the lowest polymorph listed for this composition ... 40 meV per atom
DOS(E_F) ... 0.46 states/eV per atom
Mass density ... 8.05 g cm⁻³
Energy relative to the elements ... -1.3 eV per formula unit

Entry 3:
# Al2TlRh

A relaxed Al2TlRh crystal (PBE, Alexandria via LeMat-Bulk).

Cell lengths 4.2175, 4.2175, 9.2894 Å; angles 76.88, 76.88, 90.00 degrees
Last column: nearest neighbours and their distance in Å.
Positions (direct):
Rh: 0.2500 0.7500 0.5000  4 Al 2.58
Rh: 0.5000 0.5000 0.0000  4 Al 2.58
Al: 0.5730 0.1250 0.2500  2 Rh 2.58, 2 Al 2.69, 2 Tl 2.75
Al: 0.8750 0.8230 0.7500  2 Rh 2.58, 2 Al 2.69, 2 Tl 2.75
Al: 0.1770 0.6250 0.2500  2 Rh 2.58, 2 Al 2.69, 2 Tl 2.75
Al: 0.3750 0.4270 0.7500  2 Rh 2.58, 2 Al 2.69, 2 Tl 2.75
Tl: 0.7500 0.2500 0.5000  4 Al 2.75, 4 Rh 2.98
Tl: 0.0000 0.0000 0.0000  4 Al 2.75, 4 Rh 2.98

E_tot ... -4.2299 eV per atom
Energy relative to the lowest polymorph listed for this composition ... 430 meV per atom
DOS(E_F) ... 0.60 states/eV per atom
Mass density ... 7.67 g cm⁻³
Energy relative to the elements ... 0.3 eV per formula unit

Entry 4:
# AlTl2Rh

A relaxed AlTl2Rh crystal (PBE, Alexandria via LeMat-Bulk).

Cell lengths 5.7915, 5.7915, 3.3449 Å; angles 73.20, 73.20, 116.98 degrees
Last column: nearest neighbours and their distance in Å.
Positions (direct):
Tl: 0.5000 0.5000 0.0000  2 Al 2.90, 2 Rh 2.90, 4 Tl 3.03
Tl: 0.0000 0.0000 0.0000  2 Rh 2.90, 2 Al 2.90, 4 Tl 3.03
Rh: 0.0000 0.5000 0.5000  4 Tl 2.90, 4 Al 3.03
Al: 0.5000 0.0000 0.5000  4 Tl 2.90, 4 Rh 3.03

E_tot ... -3.6647 eV per atom
Energy relative to the lowest polymorph listed for this composition ... 461 meV per atom
DOS(E_F) ... 0.38 states/eV per atom
Mass density ... 10.74 g cm⁻³
Energy relative to the elements ... 1.2 eV per formula unit

Entry 5:
# AlTlRh2

A relaxed AlTlRh2 crystal (PBE, Alexandria via LeMat-Bulk).

Cell lengths 4.3248, 4.3243, 3.4096 Å; angles 90.00, 90.00, 90.00 degrees
Last column: nearest neighbours and their distance in Å.
Positions (direct):
Rh: 0.0000 0.0000 0.0000  4 Al 2.75, 4 Tl 2.75, 4 Rh 3.06
Rh: 0.5000 0.5000 0.0000  4 Tl 2.75, 4 Al 2.75, 4 Rh 3.06
Tl: 0.5000 0.0000 0.5000  8 Rh 2.75, 4 Al 3.06
Al: 0.0000 0.5000 0.5000  8 Rh 2.75, 4 Tl 3.06

E_tot ... -5.5343 eV per atom
DOS(E_F) ... 0.24 states/eV per atom
Mass density ... 11.38 g cm⁻³
Energy relative to the elements ... -1.3 eV per formula unit

Entry 6:
# AlTlRh2

A relaxed AlTlRh2 crystal (PBE, Alexandria via LeMat-Bulk).

Cell lengths 4.5283, 4.5283, 4.5283 Å; angles 60.00, 60.00, 60.00 degrees
Last column: nearest neighbours and their distance in Å.
Positions (direct):
Tl: 0.7500 0.7500 0.7500  4 Al 2.77, 4 Rh 2.77
Rh: 0.2500 0.2500 0.2500  4 Rh 2.77, 4 Al 2.77
Rh: 0.0000 0.0000 0.0000  4 Tl 2.77, 4 Rh 2.77
Al: 0.5000 0.5000 0.5000  4 Tl 2.77, 4 Rh 2.77

E_tot ... -5.1420 eV per atom
DOS(E_F) ... 1.13 states/eV per atom
Mass density ... 11.06 g cm⁻³
Energy relative to the elements ... 0.2 eV per formula unit

> Among the records above, which one has the highest E_tot?

AlTl2Rh